The following is a PBE-GGA calculation of a relaxed structure of KAgGeTe3, from Alexandria.

a b c (Å): 4.097 8.726 12.730
angles (deg): 115.44 90.00 90.00
Positions (direct):
Ag: 0.250 0.821 0.170
Ag: 0.750 0.179 0.830
Te: 0.250 0.681 0.523
Te: 0.750 0.319 0.477
Te: 0.250 0.068 0.927
Te: 0.250 0.311 0.751
Te: 0.750 0.689 0.249
Te: 0.750 0.932 0.073
Ge: 0.250 0.134 0.514
Ge: 0.750 0.866 0.486
K: 0.250 0.318 0.235
K: 0.750 0.682 0.765

Total moment (μB/f.u.): 0.000
DFT total energy (eV/f.u.): -19.822
SG: P2_1/m (11)